# NbFeTeO2

Crystalline NbFeTeO2 at its relaxed geometry (PBE with a Hubbard U, the Alexandria database).

The structure in POSCAR format:
```
NbFeTeO2
1.0
4.0084 0.0000 0.0000
0.0000 5.0114 0.0000
0.0000 0.0000 4.0084
Fe O Nb Te
1 2 1 1
Cartesian
0.0000 2.5057 0.0000
0.0000 0.0000 2.0042
2.0042 0.0000 0.0000
2.0042 2.5057 2.0042
0.0000 0.0000 0.0000
```

Output
Calculated volume, Å³ per atom: 16.10
Crystal system: tetragonal
Theoretical density, kg/m³: 6359
DOS at the Fermi energy, states/eV per atom: 0.8506
Uncorrected energy, eV per atom: -4.804